First-principles (PBE-GGA) data for YCo3Cl9 after structural relaxation, as listed in the Alexandria database.

Cell: 8.8407 9.9110 10.9120 Å, 74.98 66.10 63.51°
With the nearest neighbours (Å) after each atom.
Element x y z (fractional)
Cl 0.8674 0.4361 0.8685  1 Co 2.28
Cl 0.0781 0.5566 0.5309  2 Co 2.24-2.25
Cl 0.4085 0.8115 0.4172  1 Co 2.27
Cl 0.1688 0.0765 0.7059  1 Co 2.25
Cl 0.8344 0.0566 0.0309  2 Co 2.24-2.25
Cl 0.3285 0.1994 0.3287  1 Co 2.27
Cl 0.0489 0.5765 0.2059  1 Co 2.25
Cl 0.4778 0.2429 0.5666  1 Co 2.28
Cl 0.9434 0.2775 0.1912  1 Co 2.26
Cl 0.7126 0.7429 0.0666  1 Co 2.28
Cl 0.1434 0.6994 0.8287  1 Co 2.27
Cl 0.8280 0.9361 0.3685  1 Co 2.28
Cl 0.7777 0.0077 0.7420  2 Co 2.24-2.25
Cl 0.5878 0.7775 0.6912  1 Co 2.26
Cl 0.2638 0.9014 0.0964  2 Co 2.25-2.26
Cl 0.4726 0.5077 0.2420  2 Co 2.24-2.25
Cl 0.3628 0.3115 0.9172  1 Co 2.27
Cl 0.7384 0.4014 0.5964  2 Co 2.25-2.26
Co 0.9868 0.9535 0.8344  4 Cl 2.24-2.27
Co 0.2254 0.4535 0.3344  4 Cl 2.24-2.27
Co 0.9688 0.0463 0.1720  4 Cl 2.25-2.28
Co 0.5902 0.2489 0.7195  4 Cl 2.24-2.28
Co 0.4414 0.7489 0.2195  4 Cl 2.24-2.28
Co 0.8130 0.5463 0.6719  4 Cl 2.25-2.28
Y 0.0159 0.4993 0.0045  6 Cl 2.66-2.70
Y 0.4803 0.9993 0.5045  6 Cl 2.66-2.70

Formation energy without anion corrections   -1.0441 eV per atom
Symmetry   Cc (9)
Calculated total energy   -115.95 eV/cell
Crystal system   monoclinic
Calculated volume   30.0 Å³/atom

---

First-principles (PBE-GGA) data for PmHoSnRu after structural relaxation, as listed in the Alexandria database.

Cell: 5.1292 5.1292 5.1292 Å, 60.00 60.00 60.00°
With the nearest neighbours (Å) after each atom.
Element x y z (fractional)
Ru 0.5000 0.5000 0.5000  4 Pm 3.14, 4 Ho 3.14
Pm 0.7500 0.7500 0.7500  4 Sn 3.14, 4 Ru 3.14
Ho 0.2500 0.2500 0.2500  4 Ru 3.14, 4 Sn 3.14
Sn 0.0000 0.0000 0.0000  4 Pm 3.14, 4 Ho 3.14

Symmetry   F-43m (216)
D(E_F)   0.664 states/eV/atom
Calculated total energy   -24.04 eV/cell
Crystal system   cubic
Calculated volume   23.9 Å³/atom

---

First-principles (PBE-GGA) data for RbAs2Rh2 after structural relaxation, as listed in the Alexandria database.

Cell: 8.1285 8.1285 3.0339 Å, 90.00 90.00 90.00°
With the nearest neighbours (Å) after each atom.
Element x y z (fractional)
Rh 0.1210 0.3790 0.0000  4 As 2.58, 1 Rh 2.78
Rh 0.8790 0.6210 0.0000  4 As 2.58, 1 Rh 2.78
Rh 0.6210 0.1210 0.0000  4 As 2.58, 1 Rh 2.78
Rh 0.3790 0.8790 0.0000  4 As 2.58, 1 Rh 2.78
As 0.6351 0.8649 0.5000  4 Rh 2.58
As 0.1351 0.6351 0.5000  4 Rh 2.58
As 0.3649 0.1351 0.5000  4 Rh 2.58
As 0.8649 0.3649 0.5000  4 Rh 2.58
Rb 0.0000 0.0000 0.0000  2 Rb 3.03, 4 Rh 3.23
Rb 0.5000 0.5000 0.0000  2 Rb 3.03, 4 Rh 3.23

Symmetry   P4/mbm (127)
D(E_F)   0.864 states/eV/atom
Calculated total energy   -50.78 eV/cell
Crystal system   tetragonal
Calculated volume   20.0 Å³/atom

---

First-principles (PBE-GGA) data for TbNd2Mg5 after structural relaxation, as listed in the Alexandria database.

Cell: 5.2654 5.2654 8.6916 Å, 107.63 107.63 90.00°
With the nearest neighbours (Å) after each atom.
Element x y z (fractional)
Nd 0.7407 0.7407 0.4814  8 Mg 3.29-3.47
Nd 0.2593 0.2593 0.5186  8 Mg 3.29-3.47
Tb 0.0000 0.0000 0.0000  8 Mg 3.19
Mg 0.3850 0.8850 0.7700  2 Mg 3.19, 2 Tb 3.19, 4 Nd 3.29-3.47
Mg 0.5000 0.5000 0.0000  8 Mg 3.19
Mg 0.1150 0.6150 0.2300  2 Tb 3.19, 2 Mg 3.19, 4 Nd 3.29-3.47
Mg 0.6150 0.1150 0.2300  2 Mg 3.19, 2 Tb 3.19, 4 Nd 3.29-3.47
Mg 0.8850 0.3850 0.7700  2 Tb 3.19, 2 Mg 3.19, 4 Nd 3.29-3.47

Symmetry   I4/mmm (139)
D(E_F)   1.019 states/eV/atom
Calculated total energy   -22.79 eV/cell
Crystal system   tetragonal
Calculated volume   27.2 Å³/atom